# NbAgAs3

NbAgAs3 after structural relaxation (PBE, Alexandria).

Summary:
- energy above the most stable polymorph in this dataset (meV per atom) = 0
- ΔE_f (eV/atom) = 0.39
- V (Å³/f.u.) = 125.35

Geometry as extended XYZ:
```
5
Lattice="5.005 0.000 0.000 0.000 5.005 0.000 0.000 0.000 5.005" Properties=species:S:1:pos:R:3 pbc="T T T"
Nb 0.000 0.000 0.000
Ag 2.502 2.502 2.502
As 0.000 0.000 2.502
As 0.000 2.502 0.000
As 2.502 0.000 0.000
```